Record 1
First-principles (PBE) data for Al2BiPb2 after structural relaxation, as listed in Alexandria.

a = 8.904 Å, b = 8.904 Å, c = 3.418 Å
α = 90.00°, β = 90.00°, γ = 90.00°
Fractional positions:
Al 0.150 0.350 0.000
Al 0.350 0.850 0.000
Al 0.650 0.150 0.000
Al 0.850 0.650 0.000
Bi 0.000 0.000 0.500
Bi 0.500 0.500 0.500
Pb 0.148 0.648 0.500
Pb 0.352 0.148 0.500
Pb 0.648 0.852 0.500
Pb 0.852 0.352 0.500

Computed properties:
Its formation energy is 280 meV/atom. Its space group is No. 127.

=====

Record 2
First-principles (PBE) data for Zn2NiGe after structural relaxation, as listed in Alexandria.

a = 7.676 Å, b = 7.676 Å, c = 4.573 Å
α = 90.00°, β = 90.00°, γ = 90.00°
Fractional positions:
Zn 0.180 0.750 0.125
Zn 0.250 0.180 0.875
Zn 0.250 0.320 0.375
Zn 0.320 0.750 0.625
Zn 0.680 0.250 0.625
Zn 0.750 0.680 0.375
Zn 0.750 0.820 0.875
Zn 0.820 0.250 0.125
Ni 0.000 0.000 0.000
Ni 0.000 0.500 0.250
Ni 0.500 0.000 0.750
Ni 0.500 0.500 0.500
Ge 0.000 0.000 0.500
Ge 0.000 0.500 0.750
Ge 0.500 0.000 0.250
Ge 0.500 0.500 0.000

Computed properties:
Its formation energy is 156 meV/atom. Its space group is No. 122.

=====

Record 3
First-principles (PBE) data for TaMnInOs after structural relaxation, as listed in Alexandria.

a = 6.326 Å, b = 6.326 Å, c = 6.326 Å
α = 90.00°, β = 90.00°, γ = 90.00°
Fractional positions:
Ta 0.000 0.000 0.000
Ta 0.000 0.500 0.500
Ta 0.500 0.000 0.500
Ta 0.500 0.500 0.000
Mn 0.250 0.250 0.250
Mn 0.250 0.750 0.750
Mn 0.750 0.250 0.750
Mn 0.750 0.750 0.250
In 0.000 0.000 0.500
In 0.000 0.500 0.000
In 0.500 0.000 0.000
In 0.500 0.500 0.500
Os 0.250 0.250 0.750
Os 0.250 0.750 0.250
Os 0.750 0.250 0.250
Os 0.750 0.750 0.750

Computed properties:
Its formation energy is 37 meV/atom. Its space group is No. 216.

=====

Record 4
First-principles (PBE) data for LaNdGeCl after structural relaxation, as listed in Alexandria.

a = 7.387 Å, b = 7.387 Å, c = 7.387 Å
α = 90.00°, β = 90.00°, γ = 90.00°
Fractional positions:
La 0.000 0.000 0.000
La 0.000 0.500 0.500
La 0.500 0.000 0.500
La 0.500 0.500 0.000
Nd 0.000 0.000 0.500
Nd 0.000 0.500 0.000
Nd 0.500 0.000 0.000
Nd 0.500 0.500 0.500
Ge 0.250 0.250 0.750
Ge 0.250 0.750 0.250
Ge 0.750 0.250 0.250
Ge 0.750 0.750 0.750
Cl 0.250 0.250 0.250
Cl 0.250 0.750 0.750
Cl 0.750 0.250 0.750
Cl 0.750 0.750 0.250

Computed properties:
Its space group is No. 216. The calculation puts the uncorrected formation energy at -1.1127 eV per atom.